Crystalline Be2Ni4O at its relaxed geometry. Source: Alexandria, functional PBE+U.

Computed properties:
V ... 11.51 A^3/atom
E_tot ... -2.662 eV/atom

Cell lengths 3.712, 3.712, 11.694 Å; angles 90.00, 90.00, 90.00 degrees
Space group I4/mmm (No. 139)
Symmetry-distinct sites (fractional):
1 Be 0.000 0.000 0.122 [4 per cell]
2 Ni 0.000 0.000 0.316 [4 per cell]
3 Ni 0.000 0.500 0.000 [4 per cell]
4 O 0.000 0.000 0.500 [2 per cell]